Entry 1:
VCrP2O8 (PBE with a Hubbard U, optimized geometry); space group = R3, No. 146; magnetization = 0.42 μB per atom; DFT total energy = -7.553 eV/atom; crystal system = trigonal; relative energy among the computed polymorphs = 0.0 kJ/mol of atoms
1.0
-4.136 6.821 -2.977
-8.513 0.103 0.166
-3.991 5.161 5.472
V Cr P O
3 3 6 24
Cartesian
-5.935 4.311 0.949
-2.378 1.727 0.380
-10.701 7.772 1.711
-16.637 12.084 2.660
-14.272 10.366 2.282
-8.314 6.039 1.329
-5.298 7.481 0.274
-7.065 4.217 4.051
-8.451 3.420 -0.997
-8.191 8.673 3.644
-9.587 7.860 -1.387
-11.338 4.615 2.399
-10.611 9.634 1.170
-11.401 8.033 3.502
-12.361 7.300 0.825
-5.288 7.523 -1.302
-5.871 8.729 0.909
-6.275 6.315 0.683
-6.046 5.127 4.839
-7.101 4.761 2.574
-7.137 7.802 4.310
-7.815 4.316 0.132
-7.607 9.953 2.943
-8.154 7.766 -1.891
-8.488 4.324 4.556
-9.033 2.142 -0.280
-8.815 7.772 2.517
-9.510 4.283 -1.649
-9.540 7.309 0.085
-10.600 6.961 -2.185
-10.353 5.770 1.988
-10.771 3.362 1.748
-11.359 4.561 3.969
-4.269 4.789 1.831
-5.239 4.043 -0.847
-6.023 2.448 1.500



Entry 2:
VCrP2O (PBE with a Hubbard U, optimized geometry); space group = P4/mmm, No. 123; magnetization = 0.30 μB per atom; DFT total energy = -5.756 eV/atom; crystal system = tetragonal; relative energy among the computed polymorphs = 38.6 kJ/mol of atoms
1.0
-0.955 3.602 2.994
-4.497 0.152 -1.616
-0.957 -2.289 2.448
Cr O P V
1 1 2 1
Cartesian
0.000 0.000 0.000
-0.478 -1.144 1.224
-2.248 0.076 -0.808
-0.477 1.801 1.497
-3.204 0.733 1.913



Entry 3:
VCrP2O8 (PBE with a Hubbard U, optimized geometry); space group = I-4m2, No. 119; magnetization = 0.42 μB per atom; DFT total energy = -7.427 eV/atom; crystal system = tetragonal; relative energy among the computed polymorphs = 12.1 kJ/mol of atoms
1.0
-2.336 1.517 -4.666
-3.284 0.006 4.330
3.941 3.599 1.020
V Cr P O
1 1 2 8
Cartesian
-1.076 2.184 2.591
0.000 0.000 0.000
-0.602 2.939 -1.907
-2.810 0.762 -0.168
0.106 1.753 -1.194
-1.754 1.185 0.890
1.941 3.433 -0.095
0.681 3.586 -2.501
-3.441 1.974 -0.907
-1.715 2.563 -2.925
-1.480 3.855 -1.008
-0.102 3.655 1.479



Entry 4:
V5CrP6O24 (PBE with a Hubbard U, optimized geometry); space group = R3, No. 146; magnetization = 0.36 μB per atom; DFT total energy = -7.597 eV/atom; crystal system = trigonal
1.0
-6.210 5.863 0.694
-7.251 -1.970 4.119
-1.646 3.551 7.622
V Cr P O
5 1 6 24
Cartesian
-0.007 0.003 0.005
-9.707 4.783 7.990
-7.564 3.727 6.227
-12.936 6.375 10.649
-5.379 2.651 4.428
-2.149 1.059 1.769
-8.634 7.058 5.809
-10.720 2.162 6.206
-7.037 3.785 9.709
-8.036 3.646 2.738
-4.390 5.252 6.206
-6.455 0.406 6.599
-4.495 3.827 3.209
-5.780 1.252 3.189
-3.819 1.866 5.204
-7.692 8.009 6.638
-8.147 6.874 4.394
-8.600 5.662 6.488
-11.588 2.770 5.041
-9.683 3.239 6.623
-9.523 3.551 3.157
-7.853 3.978 8.403
-7.640 5.043 2.182
-5.219 6.489 6.627
-9.944 0.950 5.758
-7.437 2.387 10.314
-7.234 3.418 4.072
-5.578 3.840 9.331
-5.462 4.191 5.762
-3.569 4.634 7.372
-6.471 1.837 5.945
-6.927 0.638 8.053
-7.413 -0.500 5.775
-11.297 5.633 7.228
-9.318 6.185 9.301
-10.662 3.595 9.218